Record 1
Below is a relaxed LiBe2Te crystal, with properties calculated at the PBE level.

D(E_F) ... 0.250 states/eV/atom
Total magnetization ... 0.0 μB per cell
DFT total energy ... -2.82 eV/atom
SG ... P2/m

Cell: 2.9619 4.2395 5.2917 Å, 90.00 104.00 90.00°
Fractional positions:
Li: 0.0000 0.0000 0.0000
Be: 0.3396 0.5000 0.1580
Be: 0.6604 0.5000 0.8420
Te: 0.5000 0.0000 0.5000

Record 2
Below is a relaxed LiBe2Te crystal, with properties calculated at the PBE level.

D(E_F) ... 0.409 states/eV/atom
Total magnetization ... 0.0 μB per cell
DFT total energy ... -2.78 eV/atom
SG ... Fmmm

Cell: 5.2694 5.3216 8.5836 Å, 90.00 90.00 90.00°
Fractional positions:
Li: 0.0000 0.0000 0.0000
Li: 0.0000 0.5000 0.5000
Li: 0.5000 0.0000 0.5000
Li: 0.5000 0.5000 0.0000
Be: 0.2500 0.2500 0.2500
Be: 0.2500 0.2500 0.7500
Be: 0.2500 0.7500 0.2500
Be: 0.2500 0.7500 0.7500
Be: 0.7500 0.2500 0.2500
Be: 0.7500 0.2500 0.7500
Be: 0.7500 0.7500 0.2500
Be: 0.7500 0.7500 0.7500
Te: 0.0000 0.0000 0.5000
Te: 0.0000 0.5000 0.0000
Te: 0.5000 0.0000 0.0000
Te: 0.5000 0.5000 0.5000

Record 3
Below is a relaxed Li2BeTe crystal, with properties calculated at the PBE level.

D(E_F) ... 0.244 states/eV/atom
Total magnetization ... 0.0 μB per cell
DFT total energy ... -2.86 eV/atom
SG ... P4/mmm
Energy above the lowest structure with this stoichiometry ... 17 meV/atom

Cell: 4.0001 4.0001 4.0678 Å, 90.00 90.00 90.00°
Fractional positions:
Li: 0.0000 0.5000 0.0000
Li: 0.5000 0.0000 0.0000
Be: 0.0000 0.0000 0.5000
Te: 0.5000 0.5000 0.5000

Record 4
Below is a relaxed LiBe2Te crystal, with properties calculated at the PBE level.

D(E_F) ... 0.215 states/eV/atom
Total magnetization ... 0.0 μB per cell
DFT total energy ... -2.88 eV/atom
SG ... Pmm2

Cell: 3.7582 3.8665 5.1050 Å, 90.00 90.00 90.00°
Fractional positions:
Li: 0.0000 0.0000 0.0000
Be: 0.0000 0.5000 0.6075
Be: 0.5000 0.5000 0.8278
Te: 0.5000 0.5000 0.3105

Record 5
Below is a relaxed LiBe2Te crystal, with properties calculated at the PBE level.

D(E_F) ... 0.314 states/eV/atom
Total magnetization ... 0.0 μB per cell
DFT total energy ... -2.83 eV/atom
SG ... Pmm2

Cell: 2.9453 3.5824 6.2033 Å, 90.00 90.00 90.00°
Fractional positions:
Li: 0.0000 0.0000 0.0000
Be: 0.0000 0.0000 0.3787
Be: 0.5000 0.5000 0.3135
Te: 0.5000 0.5000 0.7134

Record 6
Below is a relaxed LiBe2Te crystal, with properties calculated at the PBE level.

D(E_F) ... 0.389 states/eV/atom
Total magnetization ... 0.0 μB per cell
DFT total energy ... -2.97 eV/atom
SG ... Cmmm

Cell: 4.1401 8.4599 3.8859 Å, 90.00 90.00 90.00°
Fractional positions:
Li: 0.0000 0.0000 0.0000
Li: 0.5000 0.5000 0.0000
Be: 0.0000 0.3035 0.0000
Be: 0.0000 0.6965 0.0000
Be: 0.5000 0.1965 0.0000
Be: 0.5000 0.8035 0.0000
Te: 0.0000 0.5000 0.5000
Te: 0.5000 0.0000 0.5000

Record 7
Below is a relaxed LiBe2Te crystal, with properties calculated at the PBE level.

D(E_F) ... 0.181 states/eV/atom
Total magnetization ... 0.0 μB per cell
DFT total energy ... -2.83 eV/atom
SG ... Imm2

Cell: 3.5303 3.7138 11.2379 Å, 90.00 90.00 90.00°
Fractional positions:
Li: 0.0000 0.0000 0.0000
Li: 0.5000 0.5000 0.5000
Be: 0.0000 0.0000 0.3997
Be: 0.0000 0.5000 0.3093
Be: 0.5000 0.0000 0.8093
Be: 0.5000 0.5000 0.8997
Te: 0.0000 0.5000 0.7388
Te: 0.5000 0.0000 0.2388

Record 8
Below is a relaxed LiBeTlTe2 crystal, with properties calculated at the PBE level.

D(E_F) ... 0.000 states/eV/atom
Total magnetization ... 0.0 μB per cell
DFT total energy ... -3.21 eV/atom
SG ... P2/c

Cell: 7.6535 5.8394 7.4175 Å, 90.00 104.62 90.00°
Fractional positions:
Li: 0.0000 0.0057 0.2500
Li: 0.0000 0.9943 0.7500
Be: 0.0000 0.5000 0.0000
Be: 0.0000 0.5000 0.5000
Tl: 0.5000 0.3090 0.2500
Tl: 0.5000 0.6910 0.7500
Te: 0.2248 0.2437 0.5647
Te: 0.2248 0.7563 0.0647
Te: 0.7752 0.2437 0.9353
Te: 0.7752 0.7563 0.4353

Number 1: formation energy (no corrections) 0.306 eV per atom. Number 2: formation energy (no corrections) 0.345 eV per atom. Number 3: formation energy (no corrections) -0.188 eV per atom. Number 4: formation energy (no corrections) 0.246 eV per atom. Number 5: formation energy (no corrections) 0.300 eV per atom. Number 6: formation energy (no corrections) 0.160 eV per atom. Number 7: formation energy (no corrections) 0.297 eV per atom. Number 8: formation energy (no corrections) -0.353 eV per atom.